An optimized crystal structure of TmTcNiP2, computed with PBE.

Summary:
- Energy of formation: -0.887 eV/atom
- Space-group type: I-4m2 (119)

POSCAR file:
```
TmTcNiP2
1.0
3.890 0.000 0.000
0.000 3.890 0.000
-1.945 -1.945 4.922
Ni Tc P Tm
1 1 2 1
direct
0.250 0.750 0.500 Ni
0.750 0.250 0.500 Tc
0.619 0.619 0.238 P
0.381 0.381 0.762 P
0.000 0.000 0.000 Tm
```